Entry 1:
Computed, not measured: crystalline BaNbCo at its relaxed geometry at the PBE level of DFT.

- magnetization (μB per cell) = 0.0
- polymorph energy (0 for the lowest one) (eV per atom) = 0.815
- calculated volume (Å³/atom) = 22.87
- total energy (eV/atom) = -4.34

Lattice parameters (Å, degrees): 6.499 6.499 6.499 90.00 90.00 90.00
Space group F-43m (No. 216)
Asymmetric unit:
Ba (0.000, 0.000, 0.000) [4 per cell]
Nb (0.250, 0.250, 0.250) [4 per cell]
Co (0.250, 0.250, 0.750) [4 per cell]

Entry 2:
Computed, not measured: crystalline BaNbCo at its relaxed geometry at the PBE level of DFT.

- magnetization (μB per cell) = 4.9
- polymorph energy (0 for the lowest one) (eV per atom) = 0.000
- calculated volume (Å³/atom) = 25.20
- total energy (eV/atom) = -5.15

Lattice parameters (Å, degrees): 6.712 6.712 6.712 90.00 90.00 90.00
Space group F-43m (No. 216)
Asymmetric unit:
Ba (0.000, 0.000, 0.000) [4 per cell]
Nb (0.000, 0.000, 0.500) [4 per cell]
Co (0.250, 0.250, 0.250) [4 per cell]